Entry from the Alexandria database: crystalline LaSmY2 at its relaxed geometry (PBE).

Results
For the total DFT energy (no corrections), the calculation gives -5.617 eV/atom. The offset from the most stable computed form comes out at 14 meV per atom. The calculation puts the formation energy from the elements at 26.3 meV/atom.

a b c (Å): 3.647 3.647 10.181
angles (deg): 90.00 90.00 90.00
Space group P4/mmm (No. 123)
Asymmetric unit:
1 La 0.000 0.000 0.000 [1 per cell]
2 Sm 0.000 0.000 0.500 [1 per cell]
3 Y 0.500 0.500 0.255 [2 per cell]